Arrangement one

12
Lattice="5.857 0.028 2.322 2.834 7.398 4.215 2.561 0.219 10.650" Properties=species:S:1:pos:R:3 comment="Pr2Sm3Th PBE optimized geometry" m_tot_mub_per_cell=0.00 pbc="T T T"
Sm 8.632 6.501 8.126
Sm 8.383 6.718 14.508
Sm 2.869 0.926 2.679
Sm 2.718 2.904 5.895
Sm 2.620 1.143 9.061
Sm 8.534 4.741 11.292
Pr 5.843 2.829 3.873
Pr 5.409 4.816 13.314
Pr 5.575 6.530 10.094
Pr 5.676 1.115 7.093
Th 5.567 2.952 10.153
Th 5.685 4.693 7.034

***

Arrangement two

12
Lattice="3.675 0.000 0.000 0.000 8.612 0.949 0.000 -1.517 12.990" Properties=species:S:1:pos:R:3 comment="Pr2Sm3Th PBE optimized geometry" m_tot_mub_per_cell=0.00 pbc="T T T"
Pr 2.756 4.772 7.888
Pr 2.756 -0.497 11.670
Pr 0.919 7.593 2.269
Pr 0.919 2.323 6.051
Sm 2.756 -0.164 8.007
Sm 0.919 2.356 10.127
Sm 2.756 4.123 12.834
Sm 0.919 7.260 5.931
Sm 2.756 4.739 3.812
Sm 0.919 2.972 1.105
Th 2.756 1.196 3.369
Th 0.919 5.899 10.569

***

So which one wins? Going from most stable to least: arrangement one, arrangement two.

***

Arrangement one

4
Lattice="-0.539 3.175 4.790 -2.483 -2.260 4.695 3.195 -1.224 4.648" Properties=species:S:1:pos:R:3 comment="PrSm2Th PBE optimized geometry" m_tot_mub_per_cell=0.00 pbc="T T T"
Th 0.000 0.000 0.000
Sm 0.043 -0.077 3.533
Sm 0.130 -0.232 10.600
Pr 0.087 -0.154 7.067

***

Arrangement two

4
Lattice="-2.159 -0.322 2.819 -2.687 -2.342 -0.071 5.944 -9.704 5.701" Properties=species:S:1:pos:R:3 comment="PrSm2Th PBE optimized geometry" m_tot_mub_per_cell=0.00 pbc="T T T"
Sm -2.765 -5.091 4.065
Sm 3.863 -7.277 4.383
Pr 0.000 0.000 0.000
Th 0.549 -6.184 4.224

***

Arrangement three

8
Lattice="3.636 0.000 0.000 -1.818 3.149 0.000 0.000 0.000 23.645" Properties=species:S:1:pos:R:3 comment="PrSm2Th PBE optimized geometry" m_tot_mub_per_cell=0.00 pbc="T T T"
Sm 1.818 1.050 14.679
Sm 0.000 2.099 2.856
Sm 0.000 2.099 8.966
Sm 1.818 1.050 20.789
Pr 0.000 2.099 17.734
Pr 1.818 1.050 5.911
Th 0.000 0.000 11.823
Th 0.000 0.000 0.000

***

Arrangement four

4
Lattice="5.119 0.000 0.000 0.000 5.144 0.000 0.000 0.000 5.144" Properties=species:S:1:pos:R:3 comment="PrSm2Th PBE optimized geometry" m_tot_mub_per_cell=0.00 pbc="T T T"
Sm 0.000 2.572 0.000
Sm 0.000 0.000 2.572
Th 2.560 0.000 0.000
Pr 2.560 2.572 2.572

***

So which one wins? Going from most stable to least: arrangement three, arrangement four, arrangement two, arrangement one.

***

Arrangement one

4
Lattice="-0.271 -1.533 -3.287 -2.765 -2.244 -0.738 -7.491 7.965 -5.109" Properties=species:S:1:pos:R:3 comment="PrSm2Th PBE optimized geometry" m_tot_mub_per_cell=0.00 pbc="T T T"
Sm -2.659 1.086 -2.299
Sm -5.853 5.632 -4.156
Pr -9.513 5.444 -7.791
Th -5.258 2.087 -4.564

***

Arrangement two

4
Lattice="3.620 0.000 0.000 0.000 3.620 0.000 0.000 0.000 10.390" Properties=species:S:1:pos:R:3 comment="PrSm2Th PBE optimized geometry" m_tot_mub_per_cell=0.00 pbc="T T T"
Sm 0.000 0.000 2.462
Sm 0.000 0.000 7.928
Th 1.810 1.810 0.000
Pr 1.810 1.810 5.195

***

Arrangement three

8
Lattice="5.524 0.000 0.000 0.000 3.542 0.000 0.000 -1.771 14.093" Properties=species:S:1:pos:R:3 comment="PrSm2Th PBE optimized geometry" m_tot_mub_per_cell=0.00 pbc="T T T"
Th 4.143 1.771 0.802
Th 1.381 0.000 13.290
Sm 1.381 0.000 9.756
Sm 1.381 0.000 2.519
Sm 4.143 1.771 4.337
Sm 4.143 1.771 11.574
Pr 4.143 1.771 7.960
Pr 1.381 0.000 6.132

***

So which one wins? Going from most stable to least: arrangement two, arrangement one, arrangement three.

***

Arrangement one

4
Lattice="3.545 0.000 0.000 1.773 3.070 0.000 1.773 1.023 12.831" Properties=species:S:1:pos:R:3 comment="Pr2SmTh PBE optimized geometry" m_tot_mub_per_cell=0.00 pbc="T T T"
Pr 5.318 3.070 3.425
Pr 1.773 1.023 9.406
Sm 3.545 2.047 6.415
Th 0.000 0.000 0.000

***

Arrangement two

4
Lattice="5.804 0.000 0.000 2.902 5.027 0.000 2.902 1.676 4.739" Properties=species:S:1:pos:R:3 comment="Pr2SmTh PBE optimized geometry" m_tot_mub_per_cell=0.01 pbc="T T T"
Pr 8.707 5.027 3.554
Pr 2.902 1.676 1.185
Th 5.804 3.351 2.370
Sm 0.000 0.000 0.000

***

Arrangement three

4
Lattice="3.647 0.000 0.000 0.000 3.647 0.000 0.000 0.000 10.431" Properties=species:S:1:pos:R:3 comment="Pr2SmTh PBE optimized geometry" m_tot_mub_per_cell=0.00 pbc="T T T"
Pr 0.000 0.000 2.502
Pr 0.000 0.000 7.929
Th 1.824 1.824 0.000
Sm 1.824 1.824 5.215

***

So which one wins? Going from most stable to least: arrangement three, arrangement one, arrangement two.

***

Arrangement one

4
Lattice="-1.455 4.889 0.829 -1.056 0.538 -5.025 -4.840 -1.585 0.848" Properties=species:S:1:pos:R:3 comment="Pr2SmTh PBE optimized geometry" m_tot_mub_per_cell=0.00 pbc="T T T"
Pr -0.528 0.269 -2.512
Pr -2.420 -0.792 0.424
Th -3.676 1.921 -1.674
Sm -0.728 2.444 0.415

***

Arrangement two

4
Lattice="-4.904 2.708 -0.954 -4.658 -2.817 1.630 -3.599 1.957 4.526" Properties=species:S:1:pos:R:3 comment="Pr2SmTh PBE optimized geometry" m_tot_mub_per_cell=0.00 pbc="T T T"
Pr -3.288 0.462 1.301
Pr -13.158 1.847 5.201
Sm -9.871 1.385 3.902
Th -6.582 0.924 2.603

***

Arrangement three

4
Lattice="-0.986 -2.396 2.593 2.512 -1.338 2.310 -1.603 7.741 9.133" Properties=species:S:1:pos:R:3 comment="Pr2SmTh PBE optimized geometry" m_tot_mub_per_cell=0.00 pbc="T T T"
Sm -0.039 2.005 7.020
Pr -1.088 5.551 7.306
Pr -0.006 0.947 3.463
Th -0.585 5.248 12.399

***

So which one wins? Going from most stable to least: arrangement three, arrangement one, arrangement two.

***

Arrangement one

3
Lattice="-0.620 3.463 -0.888 -0.508 -1.116 3.415 8.511 2.017 1.925" Properties=species:S:1:pos:R:3 comment="PrSmTh PBE optimized geometry" m_tot_mub_per_cell=0.00 pbc="T T T"
Sm 2.369 2.637 1.214
Th 5.108 1.751 3.260
Pr 8.416 1.995 1.904

***

Arrangement two

12
Lattice="6.617 0.000 -1.294 0.000 6.958 0.000 -0.216 0.000 9.009" Properties=species:S:1:pos:R:3 comment="PrSmTh PBE optimized geometry" m_tot_mub_per_cell=0.00 pbc="T T T"
Pr 5.456 0.666 1.907
Pr 4.255 4.145 5.161
Pr 2.147 2.813 2.554
Pr 0.946 6.292 5.808
Th 6.133 1.897 -1.180
Th 2.824 1.582 -0.533
Th 0.269 5.061 8.895
Th 3.578 5.376 8.248
Sm 4.108 0.677 5.297
Sm 0.800 2.802 5.944
Sm 5.602 4.156 1.771
Sm 2.293 6.281 2.418

***

Arrangement three

6
Lattice="3.567 0.000 0.000 -1.784 3.089 0.000 0.000 0.000 18.708" Properties=species:S:1:pos:R:3 comment="PrSmTh PBE optimized geometry" m_tot_mub_per_cell=0.00 pbc="T T T"
Th 1.784 1.030 12.313
Th 0.000 2.059 2.959
Sm 0.000 0.000 9.382
Sm 0.000 0.000 0.028
Pr 1.784 1.030 15.721
Pr 0.000 2.059 6.367

***

So which one wins? Going from most stable to least: arrangement one, arrangement three, arrangement two.